# 1
Entry from Alexandria: crystalline CeGaCu4 at its relaxed geometry (PBE).

POSCAR file:
```
CeGaCu4
1.0
-4.2947 -1.1759 -2.7915
2.0018 -3.5199 3.3501
-2.3267 1.4873 2.9530
Cu Ga Ce
4 1 1
direct
0.8353 0.1647 0.5000
0.0000 0.0000 0.0000
0.3293 0.1647 0.5000
0.8353 0.6707 0.5000
0.6667 0.3333 0.0000
0.3333 0.6667 0.0000
```

Summary:
Crystal system ... hexagonal
Energy of formation ... -0.1877 eV per atom

=====

# 2
Entry from Alexandria: crystalline Ce2Ga6Cu at its relaxed geometry (PBE).

POSCAR file:
```
Ce2Ga6Cu
1.0
4.2185 0.0000 -0.8036
0.0000 3.6715 0.0000
0.1028 0.0000 12.0142
Ga Ce Cu
6 2 1
direct
0.1104 0.5000 0.2208
0.5956 0.0000 0.1911
0.2190 0.5000 0.4380
0.4445 0.5000 0.8890
0.7064 0.0000 0.4129
0.8856 0.5000 0.7712
0.9993 0.0000 0.9985
0.3284 0.0000 0.6567
0.7799 0.5000 0.5597
```

Summary:
Crystal system ... orthorhombic
Energy of formation ... -0.3043 eV per atom

=====

# 3
Entry from Alexandria: crystalline CeGa2Cu at its relaxed geometry (PBE).

POSCAR file:
```
CeGa2Cu
1.0
4.7613 0.0000 0.0000
2.3807 4.1234 0.0000
2.3807 1.3745 3.8876
Ga Cu Ce
2 1 1
direct
0.7500 0.7500 0.7500
0.2500 0.2500 0.2500
0.5000 0.5000 0.5000
0.0000 0.0000 0.0000
```

Summary:
Crystal system ... cubic
Energy of formation ... -0.2707 eV per atom

=====

# 4
Entry from Alexandria: crystalline Ce2Ga2Cu at its relaxed geometry (PBE).

POSCAR file:
```
Ce2Ga2Cu
1.0
-1.7040 3.2205 -2.6977
-0.7980 -1.6722 -5.3014
-9.5122 -1.3090 0.6362
Ga Cu Ce
4 2 4
direct
0.3532 0.1685 0.1251
0.6468 0.8315 0.8749
0.0806 0.2726 0.5662
0.9194 0.7274 0.4338
0.3652 0.9110 0.3586
0.6348 0.0890 0.6414
0.0685 0.7722 0.0907
0.6747 0.3181 0.3324
0.3253 0.6819 0.6676
0.9315 0.2278 0.9093
```

Summary:
Crystal system ... monoclinic
Energy of formation ... -0.4371 eV per atom

=====

# 5
Entry from Alexandria: crystalline Ce3Ga6Cu5 at its relaxed geometry (PBE).

POSCAR file:
```
Ce3Ga6Cu5
1.0
4.4189 0.0000 0.0000
0.0000 8.4961 0.0000
0.0000 0.0000 13.2922
Ce Cu Ga
6 10 12
direct
0.5000 0.7432 0.7884
0.5000 0.7426 0.5000
0.0000 0.2568 0.2884
0.0000 0.2574 0.0000
0.5000 0.7432 0.2116
0.0000 0.2568 0.7116
0.0000 0.5393 0.1374
0.0000 0.5393 0.8626
0.5000 0.1051 0.8484
0.0000 0.7568 0.0000
0.5000 0.4607 0.3626
0.0000 0.8949 0.3484
0.5000 0.1051 0.1516
0.0000 0.8949 0.6516
0.5000 0.4607 0.6374
0.5000 0.2432 0.5000
0.5000 0.0371 0.6483
0.0000 0.9629 0.1483
0.5000 0.0371 0.3517
0.0000 0.9629 0.8517
0.5000 0.9309 0.0000
0.0000 0.4182 0.5000
0.5000 0.5818 0.0000
0.0000 0.0691 0.5000
0.0000 0.6087 0.3436
0.5000 0.3913 0.1564
0.5000 0.3913 0.8436
0.0000 0.6087 0.6564
```

Summary:
Crystal system ... orthorhombic
Energy of formation ... -0.3899 eV per atom

=====

# 6
Entry from Alexandria: crystalline CeGdGaCu at its relaxed geometry (PBE).

POSCAR file:
```
CeGdGaCu
1.0
5.0734 0.0000 0.0000
2.5367 4.3937 0.0000
2.5367 1.4646 4.1424
Cu Gd Ce Ga
1 1 1 1
direct
0.5000 0.5000 0.5000
0.2500 0.2500 0.2500
0.7500 0.7500 0.7500
0.0000 0.0000 0.0000
```

Summary:
Crystal system ... cubic
Energy of formation ... -0.3102 eV per atom

=====

# 7
Entry from Alexandria: crystalline CeGaCuH at its relaxed geometry (PBE).

POSCAR file:
```
CeGaCuH
1.0
4.3466 0.0000 0.0000
-2.1733 3.7647 0.0051
0.0000 -0.0047 3.7642
H Ga Ce Cu
1 1 1 1
direct
0.2387 0.4773 0.3098
0.9053 0.8105 0.8099
0.5720 0.1439 0.3098
0.2384 0.4769 0.8095
```

Summary:
Crystal system ... hexagonal
E_tot ... -18.1 eV per cell

=====

# 8
Entry from Alexandria: crystalline Ce2Ga3Cu4Hg at its relaxed geometry (PBE).

POSCAR file:
```
Ce2Ga3Cu4Hg
1.0
4.2830 0.0000 0.0000
0.0000 4.2830 0.0000
0.0000 0.0000 10.2024
Hg Cu Ce Ga
1 4 2 3
direct
0.5000 0.5000 0.5000
0.0000 0.0000 0.0000
0.0000 0.5000 0.3543
0.5000 0.5000 0.0000
0.5000 0.0000 0.6457
0.5000 0.0000 0.2361
0.0000 0.5000 0.7639
0.5000 0.0000 0.8786
0.0000 0.0000 0.5000
0.0000 0.5000 0.1214
```

Summary:
Crystal system ... tetragonal
Energy of formation ... -0.3000 eV per atom

=====

# 9
Entry from Alexandria: crystalline Ce2Ga4Cu3Hg at its relaxed geometry (PBE).

POSCAR file:
```
Ce2Ga4Cu3Hg
1.0
4.2649 0.0000 0.0000
0.0000 4.2649 0.0000
0.0000 0.0000 10.3976
Ce Cu Ga Hg
2 3 4 1
direct
0.5000 0.0000 0.2393
0.0000 0.5000 0.7607
0.0000 0.0000 0.5000
0.0000 0.5000 0.1215
0.5000 0.0000 0.8785
0.0000 0.0000 0.0000
0.5000 0.5000 0.0000
0.5000 0.0000 0.6510
0.0000 0.5000 0.3490
0.5000 0.5000 0.5000
```

Summary:
Crystal system ... tetragonal
Energy of formation ... -0.3682 eV per atom

=====

# 10
Entry from Alexandria: crystalline CeGaCuHg at its relaxed geometry (PBE).

POSCAR file:
```
CeGaCuHg
1.0
4.9132 0.0000 0.0000
2.4566 4.2550 0.0000
2.4566 1.4183 4.0116
Cu Hg Ce Ga
1 1 1 1
direct
0.0000 0.0000 0.0000
0.7500 0.7500 0.7500
0.5000 0.5000 0.5000
0.2500 0.2500 0.2500
```

Summary:
Crystal system ... cubic
Energy of formation ... -0.1868 eV per atom

=====

# 11
Entry from Alexandria: crystalline Ce2InGa3Cu4 at its relaxed geometry (PBE).

POSCAR file:
```
Ce2InGa3Cu4
1.0
4.2716 0.0000 0.0000
0.0000 4.2716 0.0000
0.0000 0.0000 10.2432
Ga Cu Ce In
3 4 2 1
direct
0.0000 0.5000 0.1231
0.0000 0.0000 0.5000
0.5000 0.0000 0.8769
0.5000 0.0000 0.6442
0.0000 0.0000 0.0000
0.5000 0.5000 0.0000
0.0000 0.5000 0.3558
0.0000 0.5000 0.7673
0.5000 0.0000 0.2327
0.5000 0.5000 0.5000
```

Summary:
Crystal system ... tetragonal
Energy of formation ... -0.3436 eV per atom

=====

# 12
Entry from Alexandria: crystalline CeInGaCu at its relaxed geometry (PBE).

POSCAR file:
```
CeInGaCu
1.0
-0.8724 4.5715 1.4735
-4.1789 2.2048 -1.2278
-3.3952 0.8627 3.4000
Cu In Ga Ce
1 1 1 1
direct
0.0000 0.0000 0.0000
0.2500 0.2500 0.2500
0.5000 0.5000 0.5000
0.7500 0.7500 0.7500
```

Summary:
Crystal system ... cubic
Energy of formation ... -0.2996 eV per atom

=====

# 13
Entry from Alexandria: crystalline CeGa4Cu2Ir at its relaxed geometry (PBE).

POSCAR file:
```
CeGa4Cu2Ir
1.0
-1.5917 3.7014 -1.2326
-3.8539 1.1570 1.2497
1.7041 5.5387 7.2303
Ga Cu Ce Ir
4 2 1 1
direct
0.1298 0.1298 0.6106
0.8702 0.8702 0.3894
0.5980 0.5980 0.2060
0.4020 0.4020 0.7940
0.2404 0.2404 0.2787
0.7596 0.7596 0.7213
0.0000 0.0000 0.0000
0.5000 0.5000 0.5000
```

Summary:
Crystal system ... trigonal
Energy of formation ... -0.3094 eV per atom

=====

# 14
Entry from Alexandria: crystalline CeGa2CuIr2 at its relaxed geometry (PBE).

POSCAR file:
```
CeGa2CuIr2
1.0
-0.4655 -2.5798 3.6035
0.7658 -3.6156 -2.4896
5.4436 0.4480 1.0239
Ce Ga Ir Cu
1 2 2 1
direct
0.0000 0.0000 0.5000
0.0000 0.5000 0.0000
0.5000 0.0000 0.0000
0.5000 0.5000 0.7276
0.5000 0.5000 0.2724
0.0000 0.0000 0.0000
```

Summary:
Crystal system ... tetragonal
Energy of formation ... -0.0997 eV per atom

=====

# 15
Entry from Alexandria: crystalline Ce2Ga4CuIr3 at its relaxed geometry (PBE).

POSCAR file:
```
Ce2Ga4CuIr3
1.0
4.1185 0.0000 0.0000
0.0000 4.1185 0.0000
0.0000 0.0000 10.9088
Ce Ga Ir Cu
2 4 3 1
direct
0.0000 0.5000 0.7582
0.5000 0.0000 0.2418
0.0000 0.0000 0.0000
0.5000 0.5000 0.0000
0.5000 0.0000 0.6288
0.0000 0.5000 0.3712
0.5000 0.0000 0.8583
0.0000 0.0000 0.5000
0.0000 0.5000 0.1417
0.5000 0.5000 0.5000
```

Summary:
Crystal system ... tetragonal
Energy of formation ... -0.6049 eV per atom

=====

# 16
Entry from Alexandria: crystalline La2CeGa2Cu2 at its relaxed geometry (PBE).

POSCAR file:
```
La2CeGa2Cu2
1.0
4.4561 0.0000 0.0000
2.2280 3.8591 0.0000
2.2280 1.2864 9.4265
La Cu Ga Ce
2 2 2 1
direct
0.8749 0.8749 0.3753
0.1251 0.1251 0.6247
0.6074 0.6074 0.1779
0.3926 0.3926 0.8221
0.7291 0.7291 0.8128
0.2709 0.2709 0.1872
0.0000 0.0000 0.0000
```

Summary:
Crystal system ... trigonal
Energy of formation ... -0.3718 eV per atom

=====

# 17
Entry from Alexandria: crystalline LaCe2Ga2Cu2 at its relaxed geometry (PBE).

POSCAR file:
```
LaCe2Ga2Cu2
1.0
-0.0492 -2.3392 3.6596
3.5911 -0.3182 2.4226
-1.3552 6.5830 6.7674
Cu Ga La Ce
2 2 1 2
direct
0.4124 0.4124 0.7627
0.5876 0.5876 0.2373
0.2580 0.2580 0.2259
0.7420 0.7420 0.7741
0.0000 0.0000 0.0000
0.1410 0.1410 0.5769
0.8590 0.8590 0.4231
```

Summary:
Crystal system ... trigonal
Energy of formation ... -0.4141 eV per atom

=====

# 18
Entry from Alexandria: crystalline LiCeGa4Cu2 at its relaxed geometry (PBE).

POSCAR file:
```
LiCeGa4Cu2
1.0
-2.3592 3.2138 -1.4431
-1.9036 -0.2966 -3.7769
-8.3897 -2.4457 2.0407
Ce Li Cu Ga
1 1 2 4
direct
0.0000 0.0000 0.0000
0.5000 0.5000 0.5000
0.2324 0.2324 0.3027
0.7676 0.7676 0.6973
0.1275 0.1275 0.6176
0.3999 0.3999 0.8003
0.6001 0.6001 0.1997
0.8725 0.8725 0.3824
```

Summary:
Crystal system ... trigonal
Energy of formation ... -0.3235 eV per atom

=====

# 19
Entry from Alexandria: crystalline LiCe2Ga6Cu at its relaxed geometry (PBE).

POSCAR file:
```
LiCe2Ga6Cu
1.0
6.5682 -0.0033 -0.0277
-0.0025 6.5649 -0.0268
3.2633 3.2619 4.6007
Ga Cu Ce Li
6 1 2 1
direct
0.7454 0.7454 0.5088
0.2547 0.2547 0.9997
0.7453 0.7453 0.0003
0.2546 0.2546 0.4912
0.2546 0.7454 0.0000
0.7454 0.2546 0.0000
0.0000 0.0000 0.0000
0.7503 0.2497 0.5000
0.2497 0.7503 0.5000
0.5000 0.5000 0.0000
```

Summary:
Crystal system ... monoclinic
Energy of formation ... -0.2129 eV per atom

=====

# 20
Entry from Alexandria: crystalline LiCeGaCu at its relaxed geometry (PBE).

POSCAR file:
```
LiCeGaCu
1.0
4.6683 0.0000 0.0000
2.3341 4.0428 0.0000
2.3341 1.3476 3.8116
Ga Ce Cu Li
1 1 1 1
direct
0.5000 0.5000 0.5000
0.0000 0.0000 0.0000
0.2500 0.2500 0.2500
0.7500 0.7500 0.7500
```

Summary:
Crystal system ... cubic
Energy of formation ... -0.2482 eV per atom

=====

# 21
Entry from Alexandria: crystalline LiCe2Ga3Cu4 at its relaxed geometry (PBE).

POSCAR file:
```
LiCe2Ga3Cu4
1.0
4.2734 0.0000 0.0000
0.0000 4.2734 0.0000
0.0000 0.0000 9.7673
Ce Ga Cu Li
2 3 4 1
direct
0.0000 0.5000 0.7591
0.5000 0.0000 0.2409
0.5000 0.0000 0.8696
0.0000 0.0000 0.5000
0.0000 0.5000 0.1304
0.5000 0.0000 0.6250
0.0000 0.5000 0.3750
0.0000 0.0000 0.0000
0.5000 0.5000 0.0000
0.5000 0.5000 0.5000
```

Summary:
Crystal system ... tetragonal
Energy of formation ... -0.3057 eV per atom

=====

# 22
Entry from Alexandria: crystalline CeMgGaCu at its relaxed geometry (PBE).

POSCAR file:
```
CeMgGaCu
1.0
4.8486 0.0000 0.0000
2.4243 4.1990 0.0000
2.4243 1.3997 3.9589
Cu Ce Ga Mg
1 1 1 1
direct
0.7500 0.7500 0.7500
0.0000 0.0000 0.0000
0.2500 0.2500 0.2500
0.5000 0.5000 0.5000
```

Summary:
Crystal system ... cubic
Energy of formation ... -0.3080 eV per atom

=====

# 23
Entry from Alexandria: crystalline CeMg2GaCu2 at its relaxed geometry (PBE).

POSCAR file:
```
CeMg2GaCu2
1.0
4.9449 0.0000 0.0000
0.0000 4.9449 0.0000
-2.4724 -2.4724 5.3616
Cu Mg Ga Ce
2 2 1 1
direct
0.2162 0.2162 0.4325
0.7838 0.7838 0.5675
0.7500 0.2500 0.5000
0.2500 0.7500 0.5000
0.0000 0.0000 0.0000
0.5000 0.5000 0.0000
```

Summary:
Crystal system ... tetragonal
Energy of formation ... 0.0443 eV per atom

=====

# 24
Entry from Alexandria: crystalline CeMnGa4Cu2 at its relaxed geometry (PBE).

POSCAR file:
```
CeMnGa4Cu2
1.0
4.2082 0.0000 0.0000
2.1041 3.6444 0.0000
2.1041 1.2148 8.8616
Ga Ce Cu Mn
4 1 2 1
direct
0.5985 0.5985 0.2044
0.1281 0.1281 0.6157
0.4015 0.4015 0.7956
0.8719 0.8719 0.3843
0.0000 0.0000 0.0000
0.7638 0.7638 0.7087
0.2362 0.2362 0.2913
0.5000 0.5000 0.5000
```

Summary:
Crystal system ... trigonal
Energy of formation ... -0.2248 eV per atom

=====

# 25
Entry from Alexandria: crystalline CeNdGa2Cu2 at its relaxed geometry (PBE).

POSCAR file:
```
CeNdGa2Cu2
1.0
-1.0904 2.4194 -3.5812
-3.0880 -0.9543 3.0694
1.6777 6.0293 3.5625
Ga Nd Ce Cu
2 1 1 2
direct
0.6667 0.3333 0.7301
0.3333 0.6667 0.2699
0.0000 0.0000 0.0000
0.0000 0.0000 0.5000
0.6667 0.3333 0.2683
0.3333 0.6667 0.7317
```

Summary:
Crystal system ... trigonal
Energy of formation ... -0.4212 eV per atom